Below is crystalline Li2ZnCd at its relaxed geometry, with properties calculated at the PBE level.

## Properties
raw total energy	-1.72	eV/atom

```
data_Li2ZnCd
_chemical_formula_sum 'Li4 Zn2 Cd2'
_cell_length_a 4.450
_cell_length_b 4.451
_cell_length_c 6.392
_cell_angle_alpha 90.00
_cell_angle_beta 90.00
_cell_angle_gamma 90.00
_space_group_name_H-M_alt 'P m m a'
_space_group_IT_number 51
_space_group_name_Hall '-P 2a 2a'
loop_
_atom_site_label
_atom_site_type_symbol
_atom_site_fract_x
_atom_site_fract_y
_atom_site_fract_z
_atom_site_occupancy
Li1 Li 0.250 0.000 0.113 1
Li2 Li 0.250 0.500 0.361 1
Zn1 Zn 0.250 0.500 0.895 1
Cd1 Cd 0.250 0.000 0.641 1
```

Below is crystalline LiZnCd at its relaxed geometry, with properties calculated at the PBE level.

## Properties
raw total energy	-1.30	eV/atom

```
data_LiZnCd
_chemical_formula_sum 'Li4 Zn4 Cd4'
_cell_length_a 6.243
_cell_length_b 6.243
_cell_length_c 6.243
_cell_angle_alpha 90.00
_cell_angle_beta 90.00
_cell_angle_gamma 90.00
_space_group_name_H-M_alt 'F -4 3 m'
_space_group_IT_number 216
_space_group_name_Hall 'F -4 2 3'
loop_
_atom_site_label
_atom_site_type_symbol
_atom_site_fract_x
_atom_site_fract_y
_atom_site_fract_z
_atom_site_occupancy
Li1 Li 0.000 0.000 0.000 1
Zn1 Zn 0.000 0.000 0.500 1
Cd1 Cd 0.250 0.250 0.250 1
```

Below is crystalline LiZnCd2 at its relaxed geometry, with properties calculated at the PBE level.

## Properties
raw total energy	-1.37	eV/atom

```
data_LiZnCd2
_chemical_formula_sum 'Li4 Zn4 Cd8'
_cell_length_a 6.659
_cell_length_b 6.659
_cell_length_c 6.659
_cell_angle_alpha 90.00
_cell_angle_beta 90.00
_cell_angle_gamma 90.00
_space_group_name_H-M_alt 'F -4 3 m'
_space_group_IT_number 216
_space_group_name_Hall 'F -4 2 3'
loop_
_atom_site_label
_atom_site_type_symbol
_atom_site_fract_x
_atom_site_fract_y
_atom_site_fract_z
_atom_site_occupancy
Li1 Li 0.000 0.000 0.000 1
Zn1 Zn 0.250 0.250 0.750 1
Cd1 Cd 0.000 0.000 0.500 1
Cd2 Cd 0.250 0.250 0.250 1
```

Below is crystalline Li4Zn3Cd at its relaxed geometry, with properties calculated at the PBE level.

## Properties
raw total energy	-1.76	eV/atom

```
data_Li4Zn3Cd
_chemical_formula_sum 'Li4 Zn3 Cd1'
_cell_length_a 4.372
_cell_length_b 4.372
_cell_length_c 6.225
_cell_angle_alpha 90.00
_cell_angle_beta 90.00
_cell_angle_gamma 90.00
_space_group_name_H-M_alt 'P -4 m 2'
_space_group_IT_number 115
_space_group_name_Hall 'P -4 -2'
loop_
_atom_site_label
_atom_site_type_symbol
_atom_site_fract_x
_atom_site_fract_y
_atom_site_fract_z
_atom_site_occupancy
Li1 Li 0.000 0.000 0.000 1
Li2 Li 0.000 0.500 0.736 1
Li3 Li 0.500 0.500 0.500 1
Zn1 Zn 0.000 0.000 0.500 1
Zn2 Zn 0.000 0.500 0.269 1
Cd1 Cd 0.500 0.500 0.000 1
```

Below is crystalline Li2ZnCd at its relaxed geometry, with properties calculated at the PBE level.

## Properties
raw total energy	-1.72	eV/atom

```
data_Li2ZnCd
_chemical_formula_sum 'Li8 Zn4 Cd4'
_cell_length_a 6.380
_cell_length_b 6.380
_cell_length_c 6.380
_cell_angle_alpha 90.00
_cell_angle_beta 90.00
_cell_angle_gamma 90.00
_space_group_name_H-M_alt 'F -4 3 m'
_space_group_IT_number 216
_space_group_name_Hall 'F -4 2 3'
loop_
_atom_site_label
_atom_site_type_symbol
_atom_site_fract_x
_atom_site_fract_y
_atom_site_fract_z
_atom_site_occupancy
Li1 Li 0.000 0.000 0.000 1
Li2 Li 0.250 0.250 0.250 1
Zn1 Zn 0.000 0.000 0.500 1
Cd1 Cd 0.250 0.250 0.750 1
```

Below is crystalline LiZrCd4 at its relaxed geometry, with properties calculated at the PBE level.

## Properties
raw total energy	-2.46	eV/atom

```
data_LiZrCd4
_chemical_formula_sum 'Li1 Zr1 Cd4'
_cell_length_a 3.399
_cell_length_b 3.399
_cell_length_c 10.096
_cell_angle_alpha 90.00
_cell_angle_beta 90.00
_cell_angle_gamma 90.00
_space_group_name_H-M_alt 'P 4/m m m'
_space_group_IT_number 123
_space_group_name_Hall '-P 4 2'
loop_
_atom_site_label
_atom_site_type_symbol
_atom_site_fract_x
_atom_site_fract_y
_atom_site_fract_z
_atom_site_occupancy
Li1 Li 0.000 0.000 0.000 1
Zr1 Zr 0.500 0.500 0.500 1
Cd1 Cd 0.000 0.000 0.314 1
Cd2 Cd 0.500 0.500 0.145 1
```

Below is crystalline Li2ZrCd at its relaxed geometry, with properties calculated at the PBE level.

## Properties
raw total energy	-3.23	eV/atom

```
data_Li2ZrCd
_chemical_formula_sum 'Li8 Zr4 Cd4'
_cell_length_a 6.631
_cell_length_b 6.631
_cell_length_c 6.631
_cell_angle_alpha 90.00
_cell_angle_beta 90.00
_cell_angle_gamma 90.00
_space_group_name_H-M_alt 'F -4 3 m'
_space_group_IT_number 216
_space_group_name_Hall 'F -4 2 3'
loop_
_atom_site_label
_atom_site_type_symbol
_atom_site_fract_x
_atom_site_fract_y
_atom_site_fract_z
_atom_site_occupancy
Li1 Li 0.000 0.000 0.000 1
Li2 Li 0.250 0.250 0.250 1
Zr1 Zr 0.000 0.000 0.500 1
Cd1 Cd 0.250 0.250 0.750 1
```

Below is crystalline LuMgCd2 at its relaxed geometry, with properties calculated at the PBE level.

## Properties
raw total energy	-2.17	eV/atom

```
data_LuMgCd2
_chemical_formula_sum 'Lu2 Mg2 Cd4'
_cell_length_a 4.8718
_cell_length_b 4.8718
_cell_length_c 8.9908
_cell_angle_alpha 90.00
_cell_angle_beta 90.00
_cell_angle_gamma 120.00
_space_group_name_H-M_alt 'P 63/m m c'
_space_group_IT_number 194
_space_group_name_Hall '-P 6c 2c'
loop_
_atom_site_label
_atom_site_type_symbol
_atom_site_fract_x
_atom_site_fract_y
_atom_site_fract_z
_atom_site_occupancy
Lu1 Lu 0.3333 0.6667 0.2500 1
Mg1 Mg 0.0000 0.0000 0.0000 1
Cd1 Cd 0.3333 0.6667 0.5910 1
```

Below is crystalline LuMgCd2 at its relaxed geometry, with properties calculated at the PBE level.

## Properties
raw total energy	-2.06	eV/atom

```
data_LuMgCd2
_chemical_formula_sum 'Lu2 Mg2 Cd4'
_cell_length_a 5.0602
_cell_length_b 5.0602
_cell_length_c 8.5777
_cell_angle_alpha 90.00
_cell_angle_beta 90.00
_cell_angle_gamma 120.00
_space_group_name_H-M_alt 'P 63/m m c'
_space_group_IT_number 194
_space_group_name_Hall '-P 6c 2c'
loop_
_atom_site_label
_atom_site_type_symbol
_atom_site_fract_x
_atom_site_fract_y
_atom_site_fract_z
_atom_site_occupancy
Lu1 Lu 0.0000 0.0000 0.0000 1
Mg1 Mg 0.3333 0.6667 0.2500 1
Cd1 Cd 0.3333 0.6667 0.5906 1
```

Below is crystalline LuMgCd2 at its relaxed geometry, with properties calculated at the PBE level.

## Properties
raw total energy	-1.89	eV/atom

```
data_LuMgCd2
_chemical_formula_sum 'Lu2 Mg2 Cd4'
_cell_length_a 5.1191
_cell_length_b 5.1191
_cell_length_c 8.4265
_cell_angle_alpha 90.00
_cell_angle_beta 90.00
_cell_angle_gamma 120.00
_space_group_name_H-M_alt 'P 63/m m c'
_space_group_IT_number 194
_space_group_name_Hall '-P 6c 2c'
loop_
_atom_site_label
_atom_site_type_symbol
_atom_site_fract_x
_atom_site_fract_y
_atom_site_fract_z
_atom_site_occupancy
Lu1 Lu 0.0000 0.0000 0.2500 1
Mg1 Mg 0.3333 0.6667 0.2500 1
Cd1 Cd 0.3333 0.6667 0.5773 1
```

Below is crystalline LuMgZnCd at its relaxed geometry, with properties calculated at the PBE level.

## Properties
raw total energy	-2.14	eV/atom

```
data_LuMgZnCd
_chemical_formula_sum 'Lu4 Mg4 Zn4 Cd4'
_cell_length_a 6.932
_cell_length_b 6.932
_cell_length_c 6.932
_cell_angle_alpha 90.00
_cell_angle_beta 90.00
_cell_angle_gamma 90.00
_space_group_name_H-M_alt 'F -4 3 m'
_space_group_IT_number 216
_space_group_name_Hall 'F -4 2 3'
loop_
_atom_site_label
_atom_site_type_symbol
_atom_site_fract_x
_atom_site_fract_y
_atom_site_fract_z
_atom_site_occupancy
Lu1 Lu 0.000 0.000 0.000 1
Mg1 Mg 0.250 0.250 0.250 1
Zn1 Zn 0.000 0.000 0.500 1
Cd1 Cd 0.250 0.250 0.750 1
```

Below is crystalline LuMgZnCd at its relaxed geometry, with properties calculated at the PBE level.

## Properties
raw total energy	-2.33	eV/atom

```
data_LuMgZnCd
_chemical_formula_sum 'Lu4 Mg4 Zn4 Cd4'
_cell_length_a 6.931
_cell_length_b 6.931
_cell_length_c 6.931
_cell_angle_alpha 90.00
_cell_angle_beta 90.00
_cell_angle_gamma 90.00
_space_group_name_H-M_alt 'F -4 3 m'
_space_group_IT_number 216
_space_group_name_Hall 'F -4 2 3'
loop_
_atom_site_label
_atom_site_type_symbol
_atom_site_fract_x
_atom_site_fract_y
_atom_site_fract_z
_atom_site_occupancy
Lu1 Lu 0.000 0.000 0.000 1
Mg1 Mg 0.000 0.000 0.500 1
Zn1 Zn 0.250 0.250 0.250 1
Cd1 Cd 0.250 0.250 0.750 1
```

Below is crystalline LuMgZnCd at its relaxed geometry, with properties calculated at the PBE level.

## Properties
raw total energy	-2.20	eV/atom

```
data_LuMgZnCd
_chemical_formula_sum 'Lu4 Mg4 Zn4 Cd4'
_cell_length_a 6.904
_cell_length_b 6.904
_cell_length_c 6.904
_cell_angle_alpha 90.00
_cell_angle_beta 90.00
_cell_angle_gamma 90.00
_space_group_name_H-M_alt 'F -4 3 m'
_space_group_IT_number 216
_space_group_name_Hall 'F -4 2 3'
loop_
_atom_site_label
_atom_site_type_symbol
_atom_site_fract_x
_atom_site_fract_y
_atom_site_fract_z
_atom_site_occupancy
Lu1 Lu 0.000 0.000 0.000 1
Mg1 Mg 0.250 0.250 0.750 1
Zn1 Zn 0.250 0.250 0.250 1
Cd1 Cd 0.000 0.000 0.500 1
```

Below is crystalline LuCdMo at its relaxed geometry, with properties calculated at the PBE level.

## Properties
formation energy	0.817	eV/atom

```
data_LuCdMo
_chemical_formula_sum 'Lu4 Cd4 Mo4'
_cell_length_a 6.710
_cell_length_b 6.710
_cell_length_c 6.710
_cell_angle_alpha 90.00
_cell_angle_beta 90.00
_cell_angle_gamma 90.00
_space_group_name_H-M_alt 'F -4 3 m'
_space_group_IT_number 216
_space_group_name_Hall 'F -4 2 3'
loop_
_atom_site_label
_atom_site_type_symbol
_atom_site_fract_x
_atom_site_fract_y
_atom_site_fract_z
_atom_site_occupancy
Lu1 Lu 0.000 0.000 0.000 1
Cd1 Cd 0.000 0.000 0.500 1
Mo1 Mo 0.250 0.250 0.750 1
```

Below is crystalline LuCdMo at its relaxed geometry, with properties calculated at the PBE level.

## Properties
formation energy	1.102	eV/atom

```
data_LuCdMo
_chemical_formula_sum 'Lu4 Cd4 Mo4'
_cell_length_a 6.748
_cell_length_b 6.748
_cell_length_c 6.748
_cell_angle_alpha 90.00
_cell_angle_beta 90.00
_cell_angle_gamma 90.00
_space_group_name_H-M_alt 'F -4 3 m'
_space_group_IT_number 216
_space_group_name_Hall 'F -4 2 3'
loop_
_atom_site_label
_atom_site_type_symbol
_atom_site_fract_x
_atom_site_fract_y
_atom_site_fract_z
_atom_site_occupancy
Lu1 Lu 0.000 0.000 0.000 1
Cd1 Cd 0.250 0.250 0.750 1
Mo1 Mo 0.250 0.250 0.250 1
```

Below is crystalline Lu4Cd3Mo2N3 at its relaxed geometry, with properties calculated at the PBE level.

## Properties
raw total energy	-6.36	eV/atom

```
data_Lu4Cd3Mo2N3
_chemical_formula_sum 'Lu16 Cd12 Mo8 N12'
_cell_length_a 9.910
_cell_length_b 5.780
_cell_length_c 14.846
_cell_angle_alpha 90.00
_cell_angle_beta 102.82
_cell_angle_gamma 90.00
_space_group_name_H-M_alt 'C 1 2/c 1'
_space_group_IT_number 15
_space_group_name_Hall '-C 2yc'
loop_
_atom_site_label
_atom_site_type_symbol
_atom_site_fract_x
_atom_site_fract_y
_atom_site_fract_z
_atom_site_occupancy
Lu1 Lu 0.114 0.082 0.091 1
Lu2 Lu 0.219 0.086 0.409 1
Cd1 Cd 0.000 0.128 0.750 1
Cd2 Cd 0.143 0.442 0.250 1
Mo1 Mo 0.061 0.419 0.936 1
N1 N 0.085 0.244 0.500 1
N2 N 0.250 0.250 0.000 1
```

Below is crystalline Lu4CdN3 at its relaxed geometry, with properties calculated at the PBE level.

## Properties
raw total energy	-6.94	eV/atom

```
data_Lu4CdN3
_chemical_formula_sum 'Lu8 Cd2 N6'
_cell_length_a 3.3633
_cell_length_b 3.3633
_cell_length_c 26.4437
_cell_angle_alpha 90.00
_cell_angle_beta 90.00
_cell_angle_gamma 120.00
_space_group_name_H-M_alt 'P 63/m m c'
_space_group_IT_number 194
_space_group_name_Hall '-P 6c 2c'
loop_
_atom_site_label
_atom_site_type_symbol
_atom_site_fract_x
_atom_site_fract_y
_atom_site_fract_z
_atom_site_occupancy
Lu1 Lu 0.0000 0.0000 0.1518 1
Lu2 Lu 0.3333 0.6667 0.0502 1
Cd1 Cd 0.3333 0.6667 0.2500 1
N1 N 0.0000 0.0000 0.0000 1
N2 N 0.3333 0.6667 0.6053 1
```

Below is crystalline Lu3CdN2 at its relaxed geometry, with properties calculated at the PBE level.

## Properties
raw total energy	-6.48	eV/atom

```
data_Lu3CdN2
_chemical_formula_sum 'Lu6 Cd2 N4'
_cell_length_a 3.3703
_cell_length_b 3.3703
_cell_length_c 20.9736
_cell_angle_alpha 90.00
_cell_angle_beta 90.00
_cell_angle_gamma 120.00
_space_group_name_H-M_alt 'P 63/m m c'
_space_group_IT_number 194
_space_group_name_Hall '-P 6c 2c'
loop_
_atom_site_label
_atom_site_type_symbol
_atom_site_fract_x
_atom_site_fract_y
_atom_site_fract_z
_atom_site_occupancy
Lu1 Lu 0.0000 0.0000 0.0000 1
Lu2 Lu 0.3333 0.6667 0.1266 1
Cd1 Cd 0.0000 0.0000 0.2500 1
N1 N 0.3333 0.6667 0.5668 1
```

Below is crystalline Lu4Nb2Cd3N3 at its relaxed geometry, with properties calculated at the PBE level.

## Properties
raw total energy	-6.36	eV/atom

```
data_Lu4Nb2Cd3N3
_chemical_formula_sum 'Lu16 Nb8 Cd12 N12'
_cell_length_a 9.946
_cell_length_b 5.780
_cell_length_c 15.310
_cell_angle_alpha 90.00
_cell_angle_beta 102.66
_cell_angle_gamma 90.00
_space_group_name_H-M_alt 'C 1 2/c 1'
_space_group_IT_number 15
_space_group_name_Hall '-C 2yc'
loop_
_atom_site_label
_atom_site_type_symbol
_atom_site_fract_x
_atom_site_fract_y
_atom_site_fract_z
_atom_site_occupancy
Lu1 Lu 0.113 0.081 0.088 1
Lu2 Lu 0.219 0.085 0.412 1
Nb1 Nb 0.059 0.417 0.930 1
Cd1 Cd 0.000 0.124 0.750 1
Cd2 Cd 0.146 0.438 0.249 1
N1 N 0.084 0.246 0.500 1
N2 N 0.250 0.250 0.000 1
```

Below is crystalline Lu2Nb4Cd3N3 at its relaxed geometry, with properties calculated at the PBE level.

## Properties
raw total energy	-7.16	eV/atom

```
data_Lu2Nb4Cd3N3
_chemical_formula_sum 'Lu8 Nb16 Cd12 N12'
_cell_length_a 9.865
_cell_length_b 5.724
_cell_length_c 14.542
_cell_angle_alpha 90.00
_cell_angle_beta 103.11
_cell_angle_gamma 90.00
_space_group_name_H-M_alt 'C 1 2/c 1'
_space_group_IT_number 15
_space_group_name_Hall '-C 2yc'
loop_
_atom_site_label
_atom_site_type_symbol
_atom_site_fract_x
_atom_site_fract_y
_atom_site_fract_z
_atom_site_occupancy
Lu1 Lu 0.045 0.080 0.397 1
Nb1 Nb 0.107 0.418 0.571 1
Nb2 Nb 0.225 0.417 0.929 1
Cd1 Cd 0.000 0.469 0.750 1
Cd2 Cd 0.225 0.143 0.750 1
N1 N 0.078 0.233 0.000 1
N2 N 0.250 0.250 0.500 1
```

Below is crystalline Lu4CdSbN2 at its relaxed geometry, with properties calculated at the PBE level.

## Properties
raw total energy	-6.06	eV/atom

```
data_Lu4CdSbN2
_chemical_formula_sum 'Lu4 Cd1 Sb1 N2'
_cell_length_a 3.4377
_cell_length_b 3.4377
_cell_length_c 14.8916
_cell_angle_alpha 90.00
_cell_angle_beta 90.00
_cell_angle_gamma 120.00
_space_group_name_H-M_alt 'P -6 m 2'
_space_group_IT_number 187
_space_group_name_Hall 'P -6 2'
loop_
_atom_site_label
_atom_site_type_symbol
_atom_site_fract_x
_atom_site_fract_y
_atom_site_fract_z
_atom_site_occupancy
Lu1 Lu 0.0000 0.0000 0.1606 1
Lu2 Lu 0.6667 0.3333 0.3327 1
Cd1 Cd 0.0000 0.0000 0.5000 1
Sb1 Sb 0.6667 0.3333 0.0000 1
N1 N 0.3333 0.6667 0.2424 1
```

Below is crystalline Lu2Sc4Cd3N3 at its relaxed geometry, with properties calculated at the PBE level.

## Properties
raw total energy	-6.21	eV/atom

```
data_Lu2Sc4Cd3N3
_chemical_formula_sum 'Lu8 Sc16 Cd12 N12'
_cell_length_a 9.885
_cell_length_b 5.711
_cell_length_c 15.370
_cell_angle_alpha 90.00
_cell_angle_beta 102.34
_cell_angle_gamma 90.00
_space_group_name_H-M_alt 'C 1 2/c 1'
_space_group_IT_number 15
_space_group_name_Hall '-C 2yc'
loop_
_atom_site_label
_atom_site_type_symbol
_atom_site_fract_x
_atom_site_fract_y
_atom_site_fract_z
_atom_site_occupancy
Lu1 Lu 0.050 0.082 0.404 1
Sc1 Sc 0.109 0.413 0.577 1
Sc2 Sc 0.226 0.418 0.923 1
Cd1 Cd 0.000 0.499 0.250 1
Cd2 Cd 0.209 0.126 0.750 1
N1 N 0.083 0.248 0.000 1
N2 N 0.250 0.250 0.500 1
```

| no. | density (g/cm³) |
| --- | --- |
| 1 | 5.0 |
| 2 | 5.0 |
| 3 | 6.7 |
| 4 | 4.7 |
| 5 | 4.9 |
| 6 | 7.8 |
| 7 | 5.0 |
| 8 | 7.6 |
| 9 | 7.4 |
| 10 | 7.4 |
| 11 | 7.5 |
| 12 | 7.5 |
| 13 | 7.6 |
| 14 | 8.4 |
| 15 | 8.3 |
| 16 | 10.2 |
| 17 | 11.0 |
| 18 | 10.7 |
| 19 | 9.8 |
| 20 | 9.1 |
| 21 | 10.5 |
| 22 | 7.1 |